Entry from the Alexandria database: an optimized crystal structure of Rb2BSb (PBE).

Computed properties:
DOS(E_F) = 0.0 states/eV/f.u.
electronic total energy = -2.210 eV/atom
space-group type = Fm-3m

Cell and atoms, written as extended XYZ:
```
4
Lattice="-2.2876 4.1751 3.4947 -3.0249 4.4917 -2.3562 -5.8473 0.3408 0.7553" Properties=species:S:1:pos:R:3 pbc="T T T"
Sb -5.5799 4.5038 0.9469
B 0.0000 0.0000 0.0000
Rb -2.7899 2.2519 0.4735
Rb -8.3698 6.7558 1.4204
```



Entry from the Alexandria database: an optimized crystal structure of RbScBSb2 (PBE).

Computed properties:
DOS(E_F) = 4.5 states/eV/f.u.
electronic total energy = -3.409 eV/atom
space-group type = P4/mmm

Cell and atoms, written as extended XYZ:
```
5
Lattice="-5.0397 -0.3255 1.9827 -0.0712 -6.6154 -1.2671 2.0084 -0.9689 4.9461" Properties=species:S:1:pos:R:3 pbc="T T T"
Sc 0.0000 0.0000 0.0000
Sb 1.0042 -0.4845 2.4730
Sb -2.5199 -0.1627 0.9913
B -1.5513 -3.9549 2.8308
Rb -0.0356 -3.3077 -0.6335
```



Entry from the Alexandria database: an optimized crystal structure of RbSc2BSb (PBE).

Computed properties:
DOS(E_F) = 4.1 states/eV/f.u.
electronic total energy = -4.607 eV/atom
space-group type = P4/mmm

Cell and atoms, written as extended XYZ:
```
5
Lattice="-2.2677 2.9185 -3.1918 1.4586 -3.1881 -3.9513 -4.1094 -2.5775 0.5628" Properties=species:S:1:pos:R:3 pbc="T T T"
Sc -2.0547 -1.2888 0.2814
Sc -1.1338 1.4592 -1.5959
Sb 0.7293 -1.5940 -1.9757
B 0.0000 0.0000 0.0000
Rb -2.4592 -1.4236 -3.2902
```



Number 1: uncorrected formation energy 0.974 eV/atom. Number 2: uncorrected formation energy 1.036 eV/atom. Number 3: uncorrected formation energy 0.279 eV/atom.